Compound: Li5Au
Source: Alexandria
Functional: GGA-PBE
Structure: relaxed

Cell: 5.0488 5.0488 4.7516 Å, 96.49 96.49 122.57°
Sites, in units of the cell vectors:
Li (0.0000, 0.0000, 0.0000)
Li (0.1682, 0.8318, 0.5000)
Li (0.3467, 0.6533, 0.0000)
Li (0.6533, 0.3467, 0.0000)
Li (0.8318, 0.1682, 0.5000)
Au (0.5000, 0.5000, 0.5000)

Output
crystal system = monoclinic
Fermi-level density of states = 1.6 states/eV/f.u.
ρ = 3.9 g cm⁻³
distance to the lowest polymorph of the same formula = 2 meV/atom
ΔE_f = -257 meV per atom

=====

Compound: Li2Au
Source: Alexandria
Functional: GGA-PBE
Structure: relaxed

Cell: 4.9708 4.9708 4.9708 Å, 60.00 60.00 60.00°
Sites, in units of the cell vectors:
Li (0.0000, 0.0000, 0.0000)
Li (0.0000, 0.0000, 0.5000)
Li (0.0000, 0.5000, 0.0000)
Li (0.5000, 0.0000, 0.0000)
Au (0.3750, 0.3750, 0.3750)
Au (0.6250, 0.6250, 0.6250)

Output
crystal system = cubic
Fermi-level density of states = 1.3 states/eV/f.u.
ρ = 8.1 g cm⁻³
ΔE_f = -255 meV per atom

=====

Compound: LiAu4
Source: Alexandria
Functional: GGA-PBE
Structure: relaxed

Cell: 8.1921 8.1921 8.1921 Å, 149.88 139.99 50.88°
Sites, in units of the cell vectors:
Li (0.3565, 0.1065, 0.2500)
Li (0.6435, 0.8935, 0.7500)
Au (0.0000, 0.5000, 0.5000)
Au (0.1536, 0.9036, 0.2500)
Au (0.1918, 0.6904, 0.5014)
Au (0.3111, 0.3096, 0.0014)
Au (0.5000, 0.5000, 0.0000)
Au (0.6889, 0.6904, 0.9986)
Au (0.8082, 0.3096, 0.4986)
Au (0.8464, 0.0964, 0.7500)

Output
crystal system = orthorhombic
Fermi-level density of states = 0.9 states/eV/f.u.
ρ = 15.0 g cm⁻³
distance to the lowest polymorph of the same formula = 0 meV/atom
ΔE_f = -249 meV per atom

=====

Compound: Li7Au2
Source: Alexandria
Functional: GGA-PBE
Structure: relaxed

Cell: 4.5104 4.5104 8.0748 Å, 90.00 90.00 120.00°
Sites, in units of the cell vectors:
Li (0.0000, 0.0000, 0.0000)
Li (0.0000, 0.0000, 0.3225)
Li (0.0000, 0.0000, 0.6775)
Li (0.3333, 0.6667, 0.1042)
Li (0.3333, 0.6667, 0.4325)
Li (0.6667, 0.3333, 0.5675)
Li (0.6667, 0.3333, 0.8958)
Au (0.3333, 0.6667, 0.7682)
Au (0.6667, 0.3333, 0.2318)

Output
crystal system = trigonal
Fermi-level density of states = 4.1 states/eV/f.u.
ρ = 5.2 g cm⁻³
ΔE_f = -351 meV per atom

=====

Compound: LiAu3
Source: Alexandria
Functional: GGA-PBE
Structure: relaxed

Cell: 9.7480 9.7480 9.7480 Å, 16.92 16.92 16.92°
Sites, in units of the cell vectors:
Li (0.0000, 0.0000, 0.0000)
Au (0.2589, 0.2589, 0.2589)
Au (0.5000, 0.5000, 0.5000)
Au (0.7411, 0.7411, 0.7411)

Output
crystal system = trigonal
Fermi-level density of states = 3.2 states/eV/f.u.
ρ = 14.5 g cm⁻³
ΔE_f = -189 meV per atom

=====

Compound: Li5Au4
Source: Alexandria
Functional: GGA-PBE
Structure: relaxed

Cell: 5.0007 5.0007 8.3746 Å, 108.96 108.96 46.70°
Sites, in units of the cell vectors:
Li (0.0000, 0.0000, 0.0000)
Li (0.3341, 0.3341, 0.4427)
Li (0.3449, 0.3449, 0.1215)
Li (0.6551, 0.6551, 0.8785)
Li (0.6659, 0.6659, 0.5573)
Au (0.0063, 0.0063, 0.3321)
Au (0.3271, 0.3271, 0.7895)
Au (0.6729, 0.6729, 0.2105)
Au (0.9937, 0.9937, 0.6679)

Output
crystal system = monoclinic
Fermi-level density of states = 1.8 states/eV/f.u.
ρ = 9.6 g cm⁻³
distance to the lowest polymorph of the same formula = 0 meV/atom
ΔE_f = -511 meV per atom

=====

Compound: LiAu3
Source: Alexandria
Functional: GGA-PBE
Structure: relaxed

Cell: 4.9843 4.9843 2.9195 Å, 90.00 90.00 108.66°
Sites, in units of the cell vectors:
Li (0.0000, 0.0000, 0.0000)
Au (0.0000, 0.5000, 0.5000)
Au (0.5000, 0.0000, 0.5000)
Au (0.5000, 0.5000, 0.0000)

Output
crystal system = orthorhombic
Fermi-level density of states = 1.1 states/eV/f.u.
ρ = 14.4 g cm⁻³
ΔE_f = -299 meV per atom

=====

Compound: Li6Au
Source: Alexandria
Functional: GGA-PBE
Structure: relaxed

Cell: 5.4202 5.4202 5.4202 Å, 109.47 109.47 109.47°
Sites, in units of the cell vectors:
Li (0.2500, 0.5000, 0.7500)
Li (0.2500, 0.7500, 0.5000)
Li (0.5000, 0.2500, 0.7500)
Li (0.5000, 0.7500, 0.2500)
Li (0.7500, 0.2500, 0.5000)
Li (0.7500, 0.5000, 0.2500)
Au (0.0000, 0.0000, 0.0000)

Output
crystal system = cubic
Fermi-level density of states = 3.7 states/eV/f.u.
ρ = 3.2 g cm⁻³
distance to the lowest polymorph of the same formula = 722 meV/atom
ΔE_f = 503 meV per atom

=====

Compound: Li3Au4
Source: Alexandria
Functional: GGA-PBE
Structure: relaxed

Cell: 4.9691 4.9691 5.2552 Å, 90.00 90.00 120.00°
Sites, in units of the cell vectors:
Li (0.0000, 0.5000, 0.0000)
Li (0.5000, 0.0000, 0.0000)
Li (0.5000, 0.5000, 0.0000)
Au (0.0000, 0.0000, 0.2499)
Au (0.0000, 0.0000, 0.7501)
Au (0.3333, 0.6667, 0.5000)
Au (0.6667, 0.3333, 0.5000)

Output
crystal system = hexagonal
Fermi-level density of states = 1.9 states/eV/f.u.
ρ = 11.9 g cm⁻³
distance to the lowest polymorph of the same formula = 204 meV/atom
ΔE_f = -281 meV per atom

=====

Compound: Li2Au
Source: Alexandria
Functional: GGA-PBE
Structure: relaxed

Cell: 11.6526 11.6526 11.6526 Å, 164.83 164.83 21.52°
Sites, in units of the cell vectors:
Li (0.3069, 0.5569, 0.7500)
Li (0.4431, 0.6931, 0.7500)
Li (0.5569, 0.3069, 0.2500)
Li (0.6931, 0.4431, 0.2500)
Au (0.1250, 0.8750, 0.2500)
Au (0.8750, 0.1250, 0.7500)

Output
crystal system = tetragonal
Fermi-level density of states = 0.8 states/eV/f.u.
ρ = 6.5 g cm⁻³
ΔE_f = -371 meV per atom

=====

Compound: LiAu3
Source: Alexandria
Functional: GGA-PBE
Structure: relaxed

Cell: 5.0288 5.0288 4.9533 Å, 100.01 100.01 33.78°
Sites, in units of the cell vectors:
Li (0.0000, 0.0000, 0.0000)
Au (0.2537, 0.2537, 0.7561)
Au (0.5000, 0.5000, 0.5000)
Au (0.7463, 0.7463, 0.2439)

Output
crystal system = monoclinic
Fermi-level density of states = 1.2 states/eV/f.u.
ρ = 14.5 g cm⁻³
ΔE_f = -292 meV per atom

=====

Compound: Li4Au
Source: Alexandria
Functional: GGA-PBE
Structure: relaxed

Cell: 4.6318 5.9284 7.4400 Å, 90.00 128.31 90.00°
Sites, in units of the cell vectors:
Li (0.0924, 0.2142, 0.0918)
Li (0.0924, 0.2858, 0.5918)
Li (0.2860, 0.5920, 0.2866)
Li (0.2860, 0.9080, 0.7866)
Li (0.7140, 0.0920, 0.2134)
Li (0.7140, 0.4080, 0.7134)
Li (0.9076, 0.7141, 0.4082)
Li (0.9076, 0.7859, 0.9082)
Au (0.5000, 0.0000, 0.5000)
Au (0.5000, 0.5000, 0.0000)

Output
crystal system = monoclinic
Fermi-level density of states = 1.5 states/eV/f.u.
ρ = 4.7 g cm⁻³
distance to the lowest polymorph of the same formula = 86 meV/atom
ΔE_f = -229 meV per atom